Entry 1:
# Tb2NdBiC | Alexandria via LeMat-Bulk | PBE | relaxed
data_Tb2NdBiC
_cell_length_a 4.948
_cell_length_b 4.948
_cell_length_c 5.151
_cell_angle_alpha 90.00
_cell_angle_beta 90.00
_cell_angle_gamma 90.00
_space_group_name_H-M_alt 'P 4/m m m'
_space_group_IT_number 123
_space_group_name_Hall '-P 4 2'
loop_
_atom_site_label
_atom_site_fract_x
_atom_site_fract_y
_atom_site_fract_z
_atom_site_occupancy
Tb1 0.000 0.500 0.000 1
Nd1 0.000 0.000 0.500 1
Bi1 0.500 0.500 0.500 1
C1 0.000 0.000 0.000 1
# **Calculated volume**: 126.1 Å³/cell
# **Magnetization**: 0.000 μB per formula unit
# **Raw total energy**: -5.922 eV per atom

=====

Entry 2:
# RbIn2Pb | Alexandria via LeMat-Bulk | PBE | relaxed
data_RbIn2Pb
_cell_length_a 4.036
_cell_length_b 4.036
_cell_length_c 8.643
_cell_angle_alpha 90.00
_cell_angle_beta 90.00
_cell_angle_gamma 90.00
_space_group_name_H-M_alt 'P 4/m m m'
_space_group_IT_number 123
_space_group_name_Hall '-P 4 2'
loop_
_atom_site_label
_atom_site_fract_x
_atom_site_fract_y
_atom_site_fract_z
_atom_site_occupancy
Rb1 0.000 0.000 0.000 1
In1 0.500 0.500 0.305 1
Pb1 0.000 0.000 0.500 1
# **Calculated volume**: 140.8 Å³/cell
# **Magnetization**: 0.000 μB per formula unit
# **Raw total energy**: -2.586 eV per atom

=====

Entry 3:
# HoTl2Cl8 | Alexandria via LeMat-Bulk | PBE | relaxed
data_HoTl2Cl8
_cell_length_a 14.372
_cell_length_b 8.170
_cell_length_c 6.808
_cell_angle_alpha 90.00
_cell_angle_beta 98.49
_cell_angle_gamma 90.00
_space_group_name_H-M_alt 'C 1 2/m 1'
_space_group_IT_number 12
loop_
_space_group_symop_operation_xyz
'x,y,z'
'-x,-y,-z'
'-x,y,-z'
'x,-y,z'
'x+1/2,y+1/2,z'
'-x+1/2,-y+1/2,-z'
'-x+1/2,y+1/2,-z'
'x+1/2,-y+1/2,z'
loop_
_atom_site_label
_atom_site_fract_x
_atom_site_fract_y
_atom_site_fract_z
_atom_site_occupancy
Ho1 0.000 0.000 0.000 1
Tl1 0.184 0.000 0.644 1
Cl1 0.075 0.221 0.785 1
Cl2 0.144 0.500 0.270 1
Cl3 0.161 0.000 0.247 1
# **Calculated volume**: 790.7 Å³/cell
# **Magnetization**: 0.000 μB per formula unit
# **Formation energy without anion corrections**: -1.16 eV/atom

=====

Entry 4:
# Zr3TiNi | Alexandria via LeMat-Bulk | PBE | relaxed
data_Zr3TiNi
_cell_length_a 4.851
_cell_length_b 4.851
_cell_length_c 4.851
_cell_angle_alpha 90.00
_cell_angle_beta 90.00
_cell_angle_gamma 90.00
_space_group_name_H-M_alt 'P m -3 m'
_space_group_IT_number 221
_space_group_name_Hall '-P 4 2 3'
loop_
_atom_site_label
_atom_site_fract_x
_atom_site_fract_y
_atom_site_fract_z
_atom_site_occupancy
Zr1 0.000 0.000 0.500 1
Ti1 0.500 0.500 0.500 1
Ni1 0.000 0.000 0.000 1
# **Calculated volume**: 114.2 Å³/cell
# **Magnetization**: 0.554 μB per formula unit
# **Excess energy over the best structure of this formula in the dataset**: 0.000 eV per atom

=====

Entry 5:
# Li2MgAlZn | Alexandria via LeMat-Bulk | PBE | relaxed
data_Li2MgAlZn
_cell_length_a 4.536
_cell_length_b 9.482
_cell_length_c 8.299
_cell_angle_alpha 90.00
_cell_angle_beta 90.00
_cell_angle_gamma 90.00
_space_group_name_H-M_alt 'C m c m'
_space_group_IT_number 63
_space_group_name_Hall '-C 2c 2'
loop_
_atom_site_label
_atom_site_fract_x
_atom_site_fract_y
_atom_site_fract_z
_atom_site_occupancy
Li1 0.000 0.189 0.058 1
Mg1 0.000 0.500 0.000 1
Al1 0.000 0.304 0.750 1
Zn1 0.000 0.030 0.750 1
# **Calculated volume**: 357.0 Å³/cell
# **Magnetization**: 0.000 μB per formula unit
# **Raw total energy**: -2.147 eV per atom

=====

Entry 6:
# ThZnCdPt | Alexandria via LeMat-Bulk | PBE | relaxed
data_ThZnCdPt
_cell_length_a 6.983
_cell_length_b 6.983
_cell_length_c 6.983
_cell_angle_alpha 90.00
_cell_angle_beta 90.00
_cell_angle_gamma 90.00
_space_group_name_H-M_alt 'F -4 3 m'
_space_group_IT_number 216
_space_group_name_Hall 'F -4 2 3'
loop_
_atom_site_label
_atom_site_fract_x
_atom_site_fract_y
_atom_site_fract_z
_atom_site_occupancy
Th1 0.000 0.000 0.000 1
Zn1 0.250 0.250 0.750 1
Cd1 0.000 0.000 0.500 1
Pt1 0.250 0.250 0.250 1
# **Calculated volume**: 340.5 Å³/cell
# **Magnetization**: 0.000 μB per formula unit
# **Raw total energy**: -4.468 eV per atom

=====

Entry 7:
# Zr5Pa | Alexandria via LeMat-Bulk | PBE | relaxed
data_Zr5Pa
_cell_length_a 4.532
_cell_length_b 13.844
_cell_length_c 4.509
_cell_angle_alpha 90.00
_cell_angle_beta 90.00
_cell_angle_gamma 90.00
_space_group_name_H-M_alt 'C m m m'
_space_group_IT_number 65
_space_group_name_Hall '-C 2 2'
loop_
_atom_site_label
_atom_site_fract_x
_atom_site_fract_y
_atom_site_fract_z
_atom_site_occupancy
Zr1 0.000 0.000 0.000 1
Zr2 0.000 0.165 0.500 1
Zr3 0.000 0.330 0.000 1
Pa1 0.000 0.500 0.500 1
# **Calculated volume**: 282.9 Å³/cell
# **Magnetization**: 0.000 μB per formula unit
# **Excess energy over the best structure of this formula in the dataset**: 0.033 eV per atom

=====

Entry 8:
# PuNpAu4 | Alexandria via LeMat-Bulk | PBE | relaxed
data_PuNpAu4
_cell_length_a 3.027
_cell_length_b 4.933
_cell_length_c 8.525
_cell_angle_alpha 90.00
_cell_angle_beta 90.00
_cell_angle_gamma 90.00
_space_group_name_H-M_alt 'P m m m'
_space_group_IT_number 47
loop_
_space_group_symop_operation_xyz
'x,y,z'
'-x,-y,-z'
'-x,-y,z'
'x,y,-z'
'x,-y,-z'
'-x,y,z'
'-x,y,-z'
'x,-y,z'
loop_
_atom_site_label
_atom_site_fract_x
_atom_site_fract_y
_atom_site_fract_z
_atom_site_occupancy
Pu1 0.000 0.000 0.000 1
Np1 0.000 0.500 0.500 1
Au1 0.500 0.000 0.334 1
Au2 0.500 0.500 0.167 1
# **Calculated volume**: 127.3 Å³/cell
# **Magnetization**: 10.428 μB per formula unit
# **Excess energy over the best structure of this formula in the dataset**: 0.000 eV per atom